16
Lattice="5.7405 0.0000 0.0000 0.0000 5.7405 0.0000 0.0000 0.0000 5.7405" Properties=species:S:1:pos:R:3 comment="TlReN2 PBE optimized geometry" formation_energy_uncorrected_ev_per_fu=7.30 m_tot_mub_per_cell=0.0 sg=Fm-3m pbc="T T T"
Tl 0.0000 0.0000 0.0000
Tl 0.0000 2.8702 2.8702
Tl 2.8702 0.0000 2.8702
Tl 2.8702 2.8702 0.0000
Re 0.0000 0.0000 2.8702
Re 0.0000 2.8702 0.0000
Re 2.8702 0.0000 0.0000
Re 2.8702 2.8702 2.8702
N 1.4351 1.4351 1.4351
N 1.4351 1.4351 4.3054
N 1.4351 4.3054 1.4351
N 1.4351 4.3054 4.3054
N 4.3054 1.4351 1.4351
N 4.3054 1.4351 4.3054
N 4.3054 4.3054 1.4351
N 4.3054 4.3054 4.3054